# 1
Material: Tb8Te3As3C
Method: DFT, PBE-GGA
State: optimized geometry

```
Tb8Te3As3C
1.0
8.260 -0.001 -0.001
-4.131 7.153 -0.025
0.000 -4.742 7.154
Tb As Te C
8 3 3 1
Direct
0.786 0.016 0.303 Tb
0.738 0.476 0.715 Tb
0.262 0.524 0.285 Tb
0.214 0.427 0.697 Tb
0.214 0.984 0.697 Tb
0.786 0.573 0.303 Tb
0.230 0.016 0.303 Tb
0.770 0.984 0.697 Tb
0.000 0.500 0.500 As
0.500 0.500 0.500 As
0.500 0.000 0.500 As
0.000 0.000 0.000 Te
0.500 0.500 0.000 Te
0.000 0.500 0.000 Te
0.000 0.000 0.500 C
```

Its theoretical density is 7.4 g/cm³. Its space-group type is R-3m (166). The raw total energy comes out at -87.65 eV per cell. The calculation puts the formation energy (no corrections) at -1.20 eV per atom. For the total magnetic moment, the calculation gives 0.99 μB per cell.

=====

# 2
Material: TcAsC2
Method: DFT, PBE-GGA
State: optimized geometry

```
TcAsC2
1.0
-4.071 -2.392 -0.069
0.374 -0.503 -4.681
0.456 -5.385 -1.767
As Tc C
2 2 4
Direct
0.500 0.500 0.000 As
0.250 0.750 0.500 As
0.000 0.000 0.000 Tc
0.750 0.250 0.500 Tc
0.875 0.878 0.750 C
0.375 0.372 0.750 C
0.122 0.625 0.250 C
0.628 0.125 0.250 C
```

Its theoretical density is 6.4 g/cm³. Its space-group type is I-42d (122). Its formation energy is 0.9284 eV per atom. The raw total energy comes out at -59.50 eV per cell. For the total magnetic moment, the calculation gives 0.00 μB per cell.

=====

# 3
Material: Tc2AsC
Method: DFT, PBE-GGA
State: optimized geometry

```
Tc2AsC
1.0
-0.385 5.166 -0.121
-4.699 -0.401 -2.145
-4.535 2.336 3.242
Tc C As
4 2 2
Direct
0.875 0.800 0.750 Tc
0.200 0.625 0.250 Tc
0.375 0.450 0.750 Tc
0.550 0.125 0.250 Tc
0.250 0.750 0.500 C
0.500 0.500 0.000 C
0.750 0.250 0.500 As
0.000 0.000 0.000 As
```

Its theoretical density is 7.3 g/cm³. The value obtained for the offset from the most stable computed form is 0.000 eV/atom. Its space-group type is I-42d (122). Its formation energy is 0.4767 eV per atom. The raw total energy comes out at -65.40 eV per cell. For the total magnetic moment, the calculation gives 2.16 μB per cell.

=====

# 4
Material: TcAs2C
Method: DFT, PBE-GGA
State: optimized geometry

```
TcAs2C
1.0
5.466 0.000 0.000
0.000 5.466 0.000
2.733 2.733 4.259
C As Tc
2 4 2
Direct
0.250 0.750 0.500 C
0.500 0.500 0.000 C
0.563 0.125 0.250 As
0.375 0.437 0.750 As
0.187 0.625 0.250 As
0.875 0.813 0.750 As
0.000 0.000 0.000 Tc
0.750 0.250 0.500 Tc
```

Its theoretical density is 6.8 g/cm³. Its space-group type is I-42d (122). Its formation energy is 0.7231 eV per atom. The raw total energy comes out at -51.99 eV per cell. For the total magnetic moment, the calculation gives 0.58 μB per cell.

=====

# 5
Material: Tc2AsC
Method: DFT, PBE-GGA
State: optimized geometry

```
Tc2AsC
1.0
0.000 2.910 2.910
2.910 0.000 2.910
2.910 2.910 0.000
Tc As C
2 1 1
Direct
0.750 0.750 0.750 Tc
0.250 0.250 0.250 Tc
0.500 0.500 0.500 As
0.000 0.000 0.000 C
```

Its theoretical density is 9.5 g/cm³. The value obtained for the offset from the most stable computed form is 0.281 eV/atom. Its space-group type is Fm-3m (225). Its formation energy is 0.7579 eV per atom. The raw total energy comes out at -31.57 eV per cell. For the total magnetic moment, the calculation gives 0.00 μB per cell.

=====

# 6
Material: TeAs2C
Method: DFT, PBE-GGA
State: optimized geometry

```
TeAs2C
1.0
6.391 0.000 0.000
0.000 6.391 0.000
3.195 3.195 3.899
C As Te
2 4 2
Direct
0.250 0.750 0.500 C
0.500 0.500 0.000 C
0.228 0.625 0.250 As
0.522 0.125 0.250 As
0.875 0.772 0.750 As
0.375 0.478 0.750 As
0.750 0.250 0.500 Te
0.000 0.000 0.000 Te
```

Its theoretical density is 6.0 g/cm³. The value obtained for the offset from the most stable computed form is 0.000 eV/atom. Its space-group type is I-42d (122). The raw total energy comes out at -36.56 eV per cell. The calculation puts the formation energy (no corrections) at 0.85 eV per atom. For the total magnetic moment, the calculation gives 0.00 μB per cell.

=====

# 7
Material: Te2AsC
Method: DFT, PBE-GGA
State: optimized geometry

```
Te2AsC
1.0
1.925 0.000 9.008
-0.962 1.667 9.008
-0.962 -1.667 9.008
C As Te
1 1 2
Direct
0.500 0.500 0.500 C
0.000 0.000 0.000 As
0.109 0.109 0.109 Te
0.891 0.891 0.891 Te
```

Its theoretical density is 6.6 g/cm³. The value obtained for the offset from the most stable computed form is 0.152 eV/atom. Its space-group type is R-3m (166). The raw total energy comes out at -15.31 eV per cell. The calculation puts the formation energy (no corrections) at 1.21 eV per atom. For the total magnetic moment, the calculation gives 0.00 μB per cell.

=====

# 8
Material: TeAsC3
Method: DFT, PBE-GGA
State: optimized geometry

```
TeAsC3
1.0
-3.588 -0.623 1.647
1.708 -0.324 3.599
-0.428 3.935 0.557
As C Te
1 3 1
Direct
0.000 0.000 0.000 As
0.500 0.000 0.000 C
0.000 0.500 0.000 C
0.000 0.000 0.500 C
0.500 0.500 0.500 Te
```

Its theoretical density is 6.2 g/cm³. The value obtained for the offset from the most stable computed form is 0.000 eV/atom. Its space-group type is Pm-3m (221). The raw total energy comes out at -22.86 eV per cell. The calculation puts the formation energy (no corrections) at 2.52 eV per atom. For the total magnetic moment, the calculation gives 0.00 μB per cell.

=====

Look up the total magnetic moment of the fourth one. 0.58 μB per cell